Below is crystalline MgSbTe2Br at its relaxed geometry, with properties calculated at the PBE-GGA level.

energy above the most stable polymorph in this dataset = 0 meV/atom
DOS at the Fermi energy = 0.768 states/eV per atom
M_tot = 0.00 μB per cell
formation energy without anion corrections = 282 meV/atom
density = 4.92 g/cm³

Cell lengths 5.348, 5.348, 5.674 Å; angles 90.00, 90.00, 90.00 degrees
Space group P4/mmm (No. 123)
Inequivalent atoms, fractional coordinates:
Mg  0.000  0.000  0.000 x1
Sb  0.000  0.000  0.500 x1
Te  0.000  0.500  0.000 x2
Br  0.500  0.500  0.500 x1



Below is crystalline Mg2ZnSbBr at its relaxed geometry, with properties calculated at the PBE-GGA level.

DOS at the Fermi energy = 0.709 states/eV per atom
M_tot = 0.00 μB per cell
formation energy without anion corrections = 546 meV/atom
density = 3.38 g/cm³

Cell lengths 5.235, 5.235, 5.657 Å; angles 90.00, 90.00, 90.00 degrees
Space group P4/mmm (No. 123)
Inequivalent atoms, fractional coordinates:
Mg  0.000  0.500  0.000 x2
Zn  0.000  0.000  0.500 x1
Sb  0.500  0.500  0.500 x1
Br  0.500  0.500  0.000 x1



Below is crystalline MgZrSb2Br at its relaxed geometry, with properties calculated at the PBE-GGA level.

DOS at the Fermi energy = 0.884 states/eV per atom
M_tot = 0.00 μB per cell
formation energy without anion corrections = -82 meV/atom
density = 4.38 g/cm³

Cell lengths 5.648, 5.648, 5.215 Å; angles 90.00, 90.00, 90.00 degrees
Space group P4/mmm (No. 123)
Inequivalent atoms, fractional coordinates:
Mg  0.000  0.000  0.000 x1
Zr  0.500  0.500  0.500 x1
Sb  0.000  0.500  0.500 x2
Br  0.500  0.500  0.000 x1



Below is crystalline MgSc4Br at its relaxed geometry, with properties calculated at the PBE-GGA level.

DOS at the Fermi energy = 1.409 states/eV per atom
M_tot = 0.01 μB per cell
formation energy without anion corrections = 272 meV/atom
density = 2.99 g/cm³

Cell lengths 8.577, 8.577, 8.577 Å; angles 90.00, 90.00, 90.00 degrees
Space group F-43m (No. 216)
Inequivalent atoms, fractional coordinates:
Mg  0.000  0.000  0.000 x4
Sc  0.127  0.127  0.627 x16
Br  0.250  0.250  0.250 x4



Look up the formation energy without anion corrections of the fourth one. 272 meV/atom